1.
Y2TmWC3: optimized geometry, PBE-GGA.

Computed properties:
Its magnetization is 0.070 Bohr magnetons per cell. The symmetry is Cm, No. 8. The total energy is -59.83 eV per cell.

a b c (Å): 6.3696 6.3696 5.8005
angles (deg): 111.07 111.07 32.24
Element x y z (fractional)
Y 0.6166 0.6166 0.8028
Y 0.3769 0.3769 0.1930
C 0.7431 0.7431 0.2647
C 0.2874 0.2874 0.7344
C 0.9961 0.9961 0.5445
Tm 0.1312 0.1312 0.3281
W 0.8487 0.8487 0.6326

2.
Y2Tm2C3: optimized geometry, PBE-GGA.

Computed properties:
Its magnetization is 0.000 Bohr magnetons per cell. The symmetry is C2/m, No. 12. The total energy is -51.33 eV per cell.

a b c (Å): 6.7349 6.7349 6.0447
angles (deg): 114.59 114.59 31.70
Element x y z (fractional)
C 0.2795 0.2795 0.2950
C 0.0000 0.0000 0.0000
C 0.7205 0.7205 0.7050
Tm 0.8657 0.8657 0.5548
Tm 0.1343 0.1343 0.4452
Y 0.3649 0.3649 0.0075
Y 0.6351 0.6351 0.9925

3.
Tm3ZnC: optimized geometry, PBE-GGA.

Computed properties:
Its magnetization is 1.013 Bohr magnetons per cell. The symmetry is Pm-3m, No. 221. The total energy is -25.34 eV per cell.

a b c (Å): 4.7905 4.7905 4.7905
angles (deg): 90.00 90.00 90.00
Element x y z (fractional)
Tm 0.0000 0.5000 0.0000
Tm 0.5000 0.0000 0.0000
Tm 0.0000 0.0000 0.5000
Zn 0.5000 0.5000 0.5000
C 0.0000 0.0000 0.0000

4.
UC12: optimized geometry, PBE-GGA.

Computed properties:
Its magnetization is 3.201 Bohr magnetons per cell. The symmetry is P6/mmm, No. 191. The total energy is -120.58 eV per cell.

a b c (Å): 4.2913 4.2913 7.9462
angles (deg): 90.00 90.00 120.00
Element x y z (fractional)
C 0.6674 0.6674 0.7130
C 0.0000 0.3326 0.7130
C 0.0000 0.3326 0.2870
C 0.0000 0.6674 0.7130
C 0.6674 0.0000 0.7130
C 0.3326 0.0000 0.7130
C 0.6674 0.6674 0.2870
C 0.3326 0.0000 0.2870
C 0.3326 0.3326 0.7130
C 0.3326 0.3326 0.2870
C 0.6674 0.0000 0.2870
C 0.0000 0.6674 0.2870
U 0.0000 0.0000 0.0000